No. 1
{
  "formula": "CoOsIN2",
  "functional": "PBEsol",
  "state": "optimized geometry",
  "lattice": [[3.631, 0.000, 0.000], [0.000, 3.631, 0.000], [0.000, 0.000, 5.414]],
  "species": ["I", "Co", "Os", "N", "N"],
  "fractional_positions": [[0.000, 0.000, 0.500], [0.000, 0.000, 0.000], [0.500, 0.500, 0.500], [0.000, 0.500, 0.000], [0.500, 0.000, 0.000]],
  "e_form_raw_mev_per_atom": 1802,
  "total_energy_ev_per_cell": -29.764,
  "magmom_total_mub_per_fu": 0.00,
  "space_group": "P4/mmm",
  "crystal_system": "tetragonal"
}

***

No. 2
{
  "formula": "CoPIN2",
  "functional": "PBEsol",
  "state": "optimized geometry",
  "lattice": [[-0.041, 3.143, 1.346], [-1.149, -1.280, 2.955], [6.216, -0.805, 2.069]],
  "species": ["I", "P", "Co", "N", "N"],
  "fractional_positions": [[0.000, 0.000, 0.500], [0.000, 0.000, 0.000], [0.500, 0.500, 0.500], [0.000, 0.500, 0.000], [0.500, 0.000, 0.000]],
  "e_form_raw_mev_per_atom": 1044,
  "total_energy_ev_per_cell": -27.130,
  "magmom_total_mub_per_fu": 1.38,
  "space_group": "P4/mmm",
  "crystal_system": "tetragonal"
}